# 1
BaLiLa2 after structural relaxation, computed with PBE-GGA.

Values from the calculation:
energy of formation from the pure elements = 146 meV per atom
raw total energy = -3.277 eV per atom
SG = Pm

Lattice parameters (Å, degrees): 3.876 4.773 8.285 90.00 90.21 90.00
Fractional coordinates of all 4 atoms:
Ba: 0.000 0.000 0.000
Li: 0.499 0.500 0.735
La: 0.000 0.000 0.521
La: 0.501 0.500 0.331

=====

# 2
PuMnGaCu after structural relaxation, computed with PBE-GGA.

Values from the calculation:
energy of formation from the pure elements = -5 meV per atom
raw total energy = -7.661 eV per atom
SG = F-43m

Lattice parameters (Å, degrees): 4.567 4.567 4.567 60.00 60.00 60.00
Fractional coordinates of all 4 atoms:
Pu: 0.000 0.000 0.000
Mn: 0.750 0.750 0.750
Ga: 0.500 0.500 0.500
Cu: 0.250 0.250 0.250

=====

# 3
LaPm after structural relaxation, computed with PBE-GGA.

Values from the calculation:
energy of formation from the pure elements = 24 meV per atom
raw total energy = -4.815 eV per atom
SG = I4_1/amd

Lattice parameters (Å, degrees): 6.430 6.430 6.430 132.19 132.19 69.93
Fractional coordinates of all 4 atoms:
La: 0.375 0.625 0.750
La: 0.625 0.375 0.250
Pm: 0.125 0.875 0.250
Pm: 0.875 0.125 0.750

=====

# 4
RuPb2Se after structural relaxation, computed with PBE-GGA.

Values from the calculation:
formation energy from raw total energies = 468 meV per atom
raw total energy = -4.576 eV per atom
SG = I-42d

Lattice parameters (Å, degrees): 7.824 7.824 7.824 131.85 131.85 70.46
Fractional coordinates of all 8 atoms:
Ru: 0.000 0.000 0.000
Ru: 0.750 0.250 0.500
Pb: 0.086 0.625 0.961
Pb: 0.375 0.336 0.461
Pb: 0.664 0.125 0.039
Pb: 0.875 0.914 0.539
Se: 0.250 0.750 0.500
Se: 0.500 0.500 0.000

=====

raw total energy of number 1 (BaLiLa2)? -3.277 eV per atom